Record 1
Here is crystalline LiLa2Mg at its relaxed geometry from Alexandria via LeMat-Bulk. Energies are from GGA-PBE.

## Properties
As for the mass density: 4.22 g/cm3. The space group is C2/m, No. 12. As for the energy above the most stable polymorph in this dataset: 91 meV per atom. The formation energy comes out at 0.09 eV per atom. For the magnetic moment, the calculation gives 0.0 Bohr magnetons per cell.

a b c (Å): 6.5332 6.5060 3.4088
angles (deg): 80.33 79.21 116.94
With the nearest neighbours (Å) after each atom.
Sites, in units of the cell vectors:
La (0.5000, 0.0000, 0.5000)  4 La 3.39-3.41, 2 Mg 3.41, 2 Li 3.41
Mg (0.5000, 0.5000, 0.0000)  2 Li 3.39, 2 Mg 3.41, 4 La 3.41
La (0.0000, 0.0000, 0.0000)  4 La 3.39-3.41, 2 Li 3.41, 2 Mg 3.41
Li (0.0000, 0.5000, 0.5000)  2 Mg 3.39, 2 Li 3.41, 4 La 3.41

***

Record 2
Here is crystalline LiAgI2N at its relaxed geometry from Alexandria via LeMat-Bulk. Energies are from GGA-PBE.

## Properties
As for the mass density: 4.38 g/cm3. The space group is P4/mmm, No. 123. As for the energy above the most stable polymorph in this dataset: 0 meV per atom. For the energy relative to the elements, uncorrected, the calculation gives 0.440 eV per atom. For the magnetic moment, the calculation gives 2.1 Bohr magnetons per cell.

a b c (Å): 5.8985 5.8985 4.1647
angles (deg): 90.00 90.00 90.00
With the nearest neighbours (Å) after each atom.
Sites, in units of the cell vectors:
Ag (0.0000, 0.0000, 0.0000)  2 N 2.08
Li (0.5000, 0.5000, 0.5000)  8 I 3.61
I (0.5000, 0.0000, 0.0000)  2 Ag 2.95
I (0.0000, 0.5000, 0.0000)  2 Ag 2.95
N (0.0000, 0.0000, 0.5000)  2 Ag 2.08

***

Record 3
Here is crystalline NiMo3 at its relaxed geometry from Alexandria via LeMat-Bulk. Energies are from GGA-PBE.

## Properties
As for the mass density: 9.77 g/cm3. The space group is Pmmn, No. 59. The formation energy comes out at 0.15 eV per atom. For the magnetic moment, the calculation gives 0.0 Bohr magnetons per cell.

a b c (Å): 4.4003 4.9077 5.4550
angles (deg): 90.00 90.00 90.00
With the nearest neighbours (Å) after each atom.
Sites, in units of the cell vectors:
Mo (0.0000, 0.8429, 0.7605)  8 Mo 2.61-2.91, 4 Ni 2.72-2.84
Mo (0.5000, 0.6396, 0.0000)  4 Ni 2.68-2.73, 8 Mo 2.75-2.91
Ni (0.5000, 0.6713, 0.5000)  12 Mo 2.68-2.84
Ni (0.0000, 0.3287, 0.0000)  12 Mo 2.68-2.84
Mo (0.0000, 0.3604, 0.5000)  4 Ni 2.68-2.73, 8 Mo 2.75-2.91
Mo (0.0000, 0.8429, 0.2395)  8 Mo 2.61-2.91, 4 Ni 2.72-2.84
Mo (0.5000, 0.1571, 0.2605)  8 Mo 2.61-2.91, 4 Ni 2.72-2.84
Mo (0.5000, 0.1571, 0.7395)  8 Mo 2.61-2.91, 4 Ni 2.72-2.84

***

Record 4
Here is crystalline ScFePb at its relaxed geometry from Alexandria via LeMat-Bulk. Energies are from GGA-PBE.

## Properties
As for the mass density: 7.87 g/cm3. The space group is F-43m, No. 216. The formation energy comes out at 0.12 eV per atom. For the magnetic moment, the calculation gives 2.2 Bohr magnetons per cell.

a b c (Å): 4.5135 4.5135 4.5135
angles (deg): 60.00 60.00 60.00
With the nearest neighbours (Å) after each atom.
Sites, in units of the cell vectors:
Fe (0.7500, 0.7500, 0.7500)  4 Pb 2.76, 4 Sc 2.76
Pb (0.0000, 0.0000, 0.0000)  4 Fe 2.76
Sc (0.5000, 0.5000, 0.5000)  4 Fe 2.76

***

Record 5
Here is crystalline YTh8C6 at its relaxed geometry from Alexandria via LeMat-Bulk. Energies are from GGA-PBE.

## Properties
As for the mass density: 9.99 g/cm3. The space group is R-3, No. 148. The formation energy comes out at -0.26 eV per atom. For the magnetic moment, the calculation gives 0.0 Bohr magnetons per cell.

a b c (Å): 6.4021 6.4021 10.1447
angles (deg): 71.61 71.61 60.00
With the nearest neighbours (Å) after each atom.
Sites, in units of the cell vectors:
C (0.9424, 0.6110, 0.1726)  5 Th 2.49-2.69, 1 Y 2.68
C (0.3890, 0.7260, 0.8274)  5 Th 2.49-2.69, 1 Y 2.68
Th (0.4352, 0.1035, 0.6889)  3 C 2.49-2.52
Th (0.8965, 0.2276, 0.3111)  3 C 2.49-2.52
C (0.6110, 0.2740, 0.1726)  5 Th 2.49-2.69, 1 Y 2.68
Th (0.1035, 0.7724, 0.6889)  3 C 2.49-2.52
Th (0.5648, 0.8965, 0.3111)  3 C 2.49-2.52
Th (0.2276, 0.5648, 0.3111)  3 C 2.49-2.52
Th (0.7724, 0.4352, 0.6889)  3 C 2.49-2.52
Y (0.0000, 0.0000, 0.0000)  6 C 2.68
Th (0.3334, 0.3334, 0.9999)  6 C 2.69
C (0.7260, 0.0576, 0.8274)  5 Th 2.49-2.69, 1 Y 2.68
C (0.2740, 0.9424, 0.1726)  5 Th 2.49-2.69, 1 Y 2.68
C (0.0576, 0.3890, 0.8274)  5 Th 2.49-2.69, 1 Y 2.68
Th (0.6666, 0.6666, 0.0001)  6 C 2.69

***

Record 6
Here is crystalline Cu2PO6 at its relaxed geometry from Alexandria via LeMat-Bulk. Energies are from GGA-PBE.

## Properties
As for the mass density: 5.00 g/cm3. The space group is P4_2/mnm, No. 136. For the energy relative to the elements, uncorrected, the calculation gives -0.813 eV per atom. For the magnetic moment, the calculation gives 1.9 Bohr magnetons per cell.

a b c (Å): 4.4683 4.4683 8.4454
angles (deg): 90.00 90.00 90.00
With the nearest neighbours (Å) after each atom.
Sites, in units of the cell vectors:
O (0.7842, 0.2158, 0.5000)  1 P 1.80, 2 Cu 1.96
O (0.3238, 0.3238, 0.3512)  1 P 1.68
O (0.1762, 0.8238, 0.1488)  1 P 1.68
O (0.2842, 0.2842, 0.0000)  1 P 1.80, 2 Cu 1.96
O (0.8238, 0.1762, 0.1488)  1 P 1.68
Cu (0.5000, 0.5000, 0.1675)  6 O 1.91-2.05
O (0.6762, 0.6762, 0.3512)  1 P 1.68
P (0.0000, 0.0000, 0.0000)  6 O 1.68-1.80
O (0.2158, 0.7842, 0.5000)  1 P 1.80, 2 Cu 1.96
O (0.7158, 0.7158, 0.0000)  1 P 1.80, 2 Cu 1.96
O (0.3238, 0.3238, 0.6488)  1 P 1.68
O (0.6762, 0.6762, 0.6488)  1 P 1.68
P (0.5000, 0.5000, 0.5000)  6 O 1.68-1.80
O (0.8238, 0.1762, 0.8512)  1 P 1.68
O (0.1762, 0.8238, 0.8512)  1 P 1.68
Cu (0.0000, 0.0000, 0.6675)  6 O 1.91-2.05
Cu (0.0000, 0.0000, 0.3325)  6 O 1.91-2.05
Cu (0.5000, 0.5000, 0.8325)  6 O 1.91-2.05

***

Record 7
Here is crystalline ZnFe4Br at its relaxed geometry from Alexandria via LeMat-Bulk. Energies are from GGA-PBE.

## Properties
As for the mass density: 6.85 g/cm3. The space group is F-43m, No. 216. For the energy relative to the elements, uncorrected, the calculation gives 0.559 eV per atom. For the magnetic moment, the calculation gives 11.0 Bohr magnetons per cell.

a b c (Å): 5.0183 5.0183 5.0183
angles (deg): 60.00 60.00 60.00
With the nearest neighbours (Å) after each atom.
Sites, in units of the cell vectors:
Fe (0.3772, 0.3772, 0.3772)  6 Fe 2.46-2.55
Zn (0.7500, 0.7500, 0.7500)  12 Fe 2.94, 4 Br 3.07
Fe (0.3772, 0.3772, 0.8683)  6 Fe 2.46-2.55
Fe (0.8683, 0.3772, 0.3772)  6 Fe 2.46-2.55
Fe (0.3772, 0.8683, 0.3772)  6 Fe 2.46-2.55
Br (0.0000, 0.0000, 0.0000)  12 Fe 2.95, 4 Zn 3.07

***

Record 8
Here is crystalline NdDyTl at its relaxed geometry from Alexandria via LeMat-Bulk. Energies are from GGA-PBE.

## Properties
As for the mass density: 9.17 g/cm3. The space group is P3m1, No. 156. As for the energy above the most stable polymorph in this dataset: 98 meV per atom. The formation energy comes out at -0.16 eV per atom. For the magnetic moment, the calculation gives 0.0 Bohr magnetons per cell.

a b c (Å): 3.7789 5.3186 5.3186
angles (deg): 120.00 90.00 90.00
With the nearest neighbours (Å) after each atom.
Sites, in units of the cell vectors:
Dy (0.2163, 0.6667, 0.3333)  3 Tl 3.10
Nd (0.6859, 0.3333, 0.6667)  6 Tl 3.44-3.79, 6 Dy 3.55-3.67, 2 Nd 3.78
Tl (0.0977, 0.0000, 0.0000)  3 Dy 3.10, 3 Nd 3.44

***

Record 9
Here is crystalline HoZn2Au4 at its relaxed geometry from Alexandria via LeMat-Bulk. Energies are from GGA-PBE.

## Properties
As for the mass density: 13.85 g/cm3. The space group is C2/m, No. 12. The formation energy comes out at -0.51 eV per atom. For the magnetic moment, the calculation gives 0.0 Bohr magnetons per cell.

a b c (Å): 5.5715 5.3300 5.5715
angles (deg): 117.60 103.34 62.40
With the nearest neighbours (Å) after each atom.
Sites, in units of the cell vectors:
Zn (0.4994, 0.7526, 0.5006)  2 Zn 2.64-2.69, 8 Au 2.81-2.88
Zn (0.5006, 0.2474, 0.4994)  2 Zn 2.64-2.69, 8 Au 2.81-2.88
Ho (0.0000, 0.0000, 0.0000)  8 Au 2.95-3.29
Au (0.0033, 0.7004, 0.4025)  4 Au 2.80-2.84, 4 Zn 2.81-2.88, 1 Ho 2.95
Au (0.5975, 0.7004, 0.9967)  4 Au 2.80-2.84, 4 Zn 2.81-2.88, 1 Ho 2.95
Au (0.9967, 0.2996, 0.5975)  4 Au 2.80-2.84, 4 Zn 2.81-2.88, 1 Ho 2.95
Au (0.4025, 0.2996, 0.0033)  4 Au 2.80-2.84, 4 Zn 2.81-2.88, 1 Ho 2.95

***

Record 10
Here is crystalline Ce3Ni2Ge6Au at its relaxed geometry from Alexandria via LeMat-Bulk. Energies are from GGA-PBE.

## Properties
As for the mass density: 7.73 g/cm3. The space group is P-3m1, No. 164. The formation energy comes out at -0.24 eV per atom. For the magnetic moment, the calculation gives 1.9 Bohr magnetons per cell.

a b c (Å): 5.9682 5.9682 8.1530
angles (deg): 90.00 90.00 120.00
With the nearest neighbours (Å) after each atom.
Sites, in units of the cell vectors:
Ce (0.3333, 0.6667, 0.6242)  9 Ge 3.11-3.23, 1 Ni 3.32
Ge (0.8116, 0.1884, 0.7271)  1 Ni 2.47, 2 Ge 2.60, 1 Au 2.69
Ce (0.6667, 0.3333, 0.3758)  9 Ge 3.11-3.23, 1 Ni 3.32
Ni (0.6667, 0.3333, 0.9684)  3 Ge 2.47
Ge (0.8116, 0.6233, 0.7271)  1 Ni 2.47, 2 Ge 2.60, 1 Au 2.69
Ni (0.3333, 0.6667, 0.0316)  3 Ge 2.47
Ge (0.3767, 0.1884, 0.7271)  1 Ni 2.47, 2 Ge 2.60, 1 Au 2.69
Ge (0.1884, 0.8116, 0.2729)  1 Ni 2.47, 2 Ge 2.60, 1 Au 2.69
Ge (0.1884, 0.3767, 0.2729)  1 Ni 2.47, 2 Ge 2.60, 1 Au 2.69
Ce (0.0000, 0.0000, 0.0000)  6 Ge 2.96
Ge (0.6233, 0.8116, 0.2729)  1 Ni 2.47, 2 Ge 2.60, 1 Au 2.69
Au (0.0000, 0.0000, 0.5000)  6 Ge 2.69

***

Record 11
Here is crystalline HfSbPdPb2 at its relaxed geometry from Alexandria via LeMat-Bulk. Energies are from GGA-PBE.

## Properties
As for the mass density: 8.65 g/cm3. The space group is P4/mmm, No. 123. For the energy relative to the elements, uncorrected, the calculation gives 0.604 eV per atom. For the magnetic moment, the calculation gives 0.0 Bohr magnetons per cell.

a b c (Å): 5.6507 4.9347 5.6507
angles (deg): 90.00 90.00 90.00
With the nearest neighbours (Å) after each atom.
Sites, in units of the cell vectors:
Pb (0.0000, 0.0000, 0.5000)  2 Hf 2.83
Pd (0.0000, 0.5000, 0.0000)  2 Hf 2.47
Sb (0.5000, 0.5000, 0.5000)  8 Pb 3.75, 4 Pd 4.00
Hf (0.0000, 0.0000, 0.0000)  2 Pd 2.47
Pb (0.5000, 0.0000, 0.0000)  2 Hf 2.83

***

Record 12
Here is crystalline Mn2Co at its relaxed geometry from Alexandria via LeMat-Bulk. Energies are from GGA-PBE.

## Properties
As for the mass density: 8.12 g/cm3. The space group is Imma, No. 74. The formation energy comes out at 0.39 eV per atom. For the magnetic moment, the calculation gives 0.0 Bohr magnetons per cell.

a b c (Å): 2.4523 3.7246 15.1119
angles (deg): 90.00 90.00 90.00
With the nearest neighbours (Å) after each atom.
Sites, in units of the cell vectors:
Co (0.0000, 0.2500, 0.6164)  2 Co 2.45, 10 Mn 2.48-2.59
Co (0.5000, 0.2500, 0.8836)  2 Co 2.45, 10 Mn 2.48-2.59
Mn (0.5000, 0.7500, 0.6882)  5 Mn 2.23-2.45, 4 Co 2.48
Co (0.0000, 0.7500, 0.3836)  2 Co 2.45, 10 Mn 2.48-2.59
Co (0.5000, 0.7500, 0.1164)  2 Co 2.45, 10 Mn 2.48-2.59
Mn (0.0000, 0.2500, 0.0346)  3 Mn 2.14-2.32
Mn (0.5000, 0.7500, 0.5346)  3 Mn 2.14-2.32
Mn (0.5000, 0.2500, 0.4654)  3 Mn 2.14-2.32
Mn (0.0000, 0.7500, 0.9654)  3 Mn 2.14-2.32
Mn (0.0000, 0.7500, 0.8118)  5 Mn 2.23-2.45, 4 Co 2.48
Mn (0.0000, 0.2500, 0.1882)  5 Mn 2.23-2.45, 4 Co 2.48
Mn (0.5000, 0.2500, 0.3118)  5 Mn 2.23-2.45, 4 Co 2.48

***

| no. | total DFT energy (no corrections) (eV per atom) |
| --- | --- |
| 1 | -3.25 |
| 2 | -2.80 |
| 3 | -9.41 |
| 4 | -6.05 |
| 5 | -8.34 |
| 6 | -5.63 |
| 7 | -5.57 |
| 8 | -4.08 |
| 9 | -3.40 |
| 10 | -5.27 |
| 11 | -4.73 |
| 12 | -8.09 |